Here is a geometry-optimized Ce2TaV2C4 structure from the Alexandria database. Energies are from GGA-PBE.

Structure (POSCAR):
```
Ce2TaV2C4
1.0
6.3292 -1.6527 0.0000
6.3292 1.6527 0.0000
-1.6623 0.0000 5.7662
Ce Ta V C
2 1 2 4
Direct
0.1255 0.1255 0.0361 Ce
0.8745 0.8745 0.9639 Ce
0.0000 0.0000 0.5000 Ta
0.3245 0.3245 0.4909 V
0.6755 0.6755 0.5091 V
0.2154 0.2154 0.7055 C
0.4690 0.4690 0.7344 C
0.5310 0.5310 0.2656 C
0.7846 0.7846 0.2945 C
```

Properties
The space group is No. 12. The value obtained for the energy of formation is -0.2678 eV per atom. As for the crystal system: monoclinic.


Here is a geometry-optimized Sr2Ag5Au structure from the Alexandria database. Energies are from GGA-PBE.

Structure (POSCAR):
```
Sr2Ag5Au
1.0
2.3036 -8.6181 0.0000
2.3036 8.6181 0.0000
0.0000 0.0000 10.0478
Sr Ag Au
4 10 2
Direct
0.0000 0.0000 0.0000 Sr
0.0000 0.0000 0.5000 Sr
0.1987 0.8013 0.7500 Sr
0.8013 0.1987 0.2500 Sr
0.1858 0.8142 0.1123 Ag
0.1858 0.8142 0.3877 Ag
0.3488 0.6512 0.0257 Ag
0.3488 0.6512 0.4743 Ag
0.3937 0.6063 0.7500 Ag
0.6063 0.3937 0.2500 Ag
0.6512 0.3488 0.5257 Ag
0.6512 0.3488 0.9743 Ag
0.8142 0.1858 0.6123 Ag
0.8142 0.1858 0.8877 Ag
0.4442 0.5558 0.2500 Au
0.5558 0.4442 0.7500 Au
```

Properties
The space group is No. 63. The value obtained for the energy of formation is -0.2806 eV per atom. As for the crystal system: orthorhombic.


Here is a geometry-optimized TbEr4Tl4 structure from the Alexandria database. Energies are from GGA-PBE.

Structure (POSCAR):
```
TbEr4Tl4
1.0
9.4569 0.0000 0.0000
0.0000 9.4569 0.0000
0.0000 0.0000 5.7969
Tb Er Tl
2 8 8
Direct
0.2500 0.2500 0.2500 Tb
0.7500 0.7500 0.7500 Tb
0.0943 0.8285 0.6383 Er
0.1715 0.5943 0.1383 Er
0.3285 0.9057 0.1383 Er
0.4057 0.6715 0.6383 Er
0.5943 0.3285 0.3617 Er
0.6715 0.0943 0.8617 Er
0.8285 0.4057 0.8617 Er
0.9057 0.1715 0.3617 Er
0.0401 0.1462 0.8551 Tl
0.1462 0.4599 0.6449 Tl
0.3538 0.0401 0.6449 Tl
0.4599 0.3538 0.8551 Tl
0.5401 0.6462 0.1449 Tl
0.6462 0.9599 0.3551 Tl
0.8538 0.5401 0.3551 Tl
0.9599 0.8538 0.1449 Tl
```

Properties
The space group is No. 86. The value obtained for the energy of formation is -0.1458 eV per atom. As for the crystal system: tetragonal.


Here is a geometry-optimized Ho4PHC2 structure from the Alexandria database. Energies are from GGA-PBE.

Structure (POSCAR):
```
Ho4PHC2
1.0
1.8527 -6.0105 0.0000
1.8527 6.0105 0.0000
0.0000 0.0000 12.4561
Ho P H C
8 2 2 4
Direct
0.0000 0.0000 0.0000 Ho
0.0000 0.0000 0.5000 Ho
0.2655 0.7345 0.6095 Ho
0.2655 0.7345 0.8905 Ho
0.4391 0.5609 0.2500 Ho
0.5609 0.4391 0.7500 Ho
0.7345 0.2655 0.1095 Ho
0.7345 0.2655 0.3905 Ho
0.1137 0.8863 0.2500 P
0.8863 0.1137 0.7500 P
0.1539 0.8461 0.7500 H
0.8461 0.1539 0.2500 H
0.3661 0.6339 0.0605 C
0.3661 0.6339 0.4395 C
0.6339 0.3661 0.5605 C
0.6339 0.3661 0.9395 C
```

Properties
The space group is No. 63. As for the crystal system: orthorhombic. The value obtained for the final energy is -6.4266 eV/atom.


Here is a geometry-optimized LaCu2Pt2 structure from the Alexandria database. Energies are from GGA-PBE.

Structure (POSCAR):
```
LaCu2Pt2
1.0
7.5624 0.0000 0.0000
0.0000 7.5624 0.0000
0.0000 0.0000 3.0259
La Cu Pt
2 4 4
Direct
0.0000 0.0000 0.0000 La
0.5000 0.5000 0.0000 La
0.1490 0.3510 0.5000 Cu
0.3510 0.8510 0.5000 Cu
0.6490 0.1490 0.5000 Cu
0.8510 0.6490 0.5000 Cu
0.1438 0.6438 0.0000 Pt
0.3562 0.1438 0.0000 Pt
0.6438 0.8562 0.0000 Pt
0.8562 0.3562 0.0000 Pt
```

Properties
The space group is No. 127. For the energy above the lowest structure with this stoichiometry, the calculation gives 0.180 eV/atom. The value obtained for the energy of formation is -0.4130 eV per atom. As for the crystal system: tetragonal.


Quick rundown of size of the total moment, same order as above: 0.0 0.0 0.0 0.0 0.0 μB/cell